VASP calculation (PBE-GGA) on a relaxed BaAl2Os crystal.

The energy of formation from the pure elements is 699 meV/atom.

The space group is I-4m2 (No. 119) and the conventional cell measures 4.9176, 4.9176 and 6.9462 Å, with angles of 90.00, 90.00 and 90.00 degrees. The inequivalent atoms are Ba at (0.0000, 0.0000, 0.0000), Al at (0.0000, 0.0000, 0.5000), Al at (0.0000, 0.5000, 0.7500) and Os at (0.0000, 0.5000, 0.2500).

VASP calculation (PBE-GGA) on a relaxed BaAl2Os crystal.

The energy of formation from the pure elements is 305 meV/atom.

The space group is R-3m (No. 166, hexagonal axes) and the conventional cell measures 3.2768, 3.2768 and 28.2575 Å, with angles of 90.00, 90.00 and 120.00 degrees. The inequivalent atoms are Ba at (0.0000, 0.0000, 0.0000), Al at (0.0000, 0.0000, 0.2274) and Os at (0.0000, 0.0000, 0.5000).

VASP calculation (PBE-GGA) on a relaxed BaAl2Os crystal.

The energy of formation from the pure elements is 806 meV/atom.

The space group is Cmmm (No. 65) and the conventional cell measures 6.1758, 8.0642 and 3.3026 Å, with angles of 90.00, 90.00 and 90.00 degrees. The inequivalent atoms are Ba at (0.0000, 0.0000, 0.0000), Al at (0.2500, 0.2500, 0.5000) and Os at (0.0000, 0.5000, 0.0000).

VASP calculation (PBE-GGA) on a relaxed Ba2AlOs crystal.

The energy of formation from the pure elements is 8 meV/atom.

The space group is Cm (No. 8) and the conventional cell measures 7.6414, 4.4042 and 9.2767 Å, with angles of 90.00, 105.17 and 90.00 degrees. The inequivalent atoms are Ba at (0.0000, 0.0000, 0.0000), Ba at (0.1571, 0.0000, 0.4952), Al at (0.2456, 0.5000, 0.2476) and Os at (0.4124, 0.0000, 0.2473).

VASP calculation (PBE-GGA) on a relaxed BaAl2Os crystal.

The energy of formation from the pure elements is 857 meV/atom.

The space group is P4/mmm (No. 123) and the conventional cell measures 5.2464, 5.2464 and 2.9438 Å, with angles of 90.00, 90.00 and 90.00 degrees. The inequivalent atoms are Ba at (0.0000, 0.0000, 0.0000), Al at (0.0000, 0.5000, 0.5000) and Os at (0.5000, 0.5000, 0.0000).

VASP calculation (PBE-GGA) on a relaxed Ba2AlOs crystal.

The energy of formation from the pure elements is 742 meV/atom.

The space group is Cmmm (No. 65) and the conventional cell measures 7.4020, 7.4325 and 4.3173 Å, with angles of 90.00, 90.00 and 90.00 degrees. The inequivalent atoms are Ba at (0.2500, 0.2500, 0.0000), Al at (0.0000, 0.0000, 0.5000) and Os at (0.0000, 0.5000, 0.5000).